Below is La2Tb5 after structural relaxation, with properties calculated at the PBE-GGA level.

Cell: 11.418 5.110 8.117 Å, 90.00 98.11 90.00°
Element x y z (fractional)
1 La 0.072 0.000 0.217
2 La 0.428 0.500 0.783
3 La 0.572 0.500 0.217
4 La 0.928 0.000 0.783
5 Tb 0.000 0.500 0.500
6 Tb 0.144 0.500 0.930
7 Tb 0.214 0.000 0.643
8 Tb 0.286 0.500 0.357
9 Tb 0.356 0.000 0.070
10 Tb 0.500 0.000 0.500
11 Tb 0.644 0.000 0.930
12 Tb 0.714 0.500 0.643
13 Tb 0.786 0.000 0.357
14 Tb 0.856 0.500 0.070

Results
* symmetry: C2/m, No. 12
* E_form: 0.2 eV per formula unit
* V: 468.9 Å³/cell
* DOS at the Fermi energy: 1.5675 states/eV per atom
* density: 7.596 g/cm3